DFT (PBE+U) results for a relaxed Fe2AgSbF crystal. Values from VASP.

Quantum ESPRESSO input file:
```
&SYSTEM
  ibrav = 0, nat = 5, ntyp = 4
/
ATOMIC_SPECIES
Sb 121.76 Sb.upf
Fe 55.84 Fe.upf
Ag 107.87 Ag.upf
F 19.00 F.upf
CELL_PARAMETERS angstrom
-1.617 3.517 -3.465
-0.172 -3.060 -3.025
-4.932 -0.998 1.290
ATOMIC_POSITIONS angstrom
Sb 0.000 0.000 0.000
Fe -0.809 1.758 -1.732
Fe -2.466 -0.499 0.645
Ag -3.361 -0.270 -2.600
F -0.086 -1.530 -1.512
```

* energy: -3.717 eV per atom
* total moment: 7.0 μB/f.u.